[1]
VASP calculation (meta-GGA SCAN) on FeIrRh2 at its PBEsol-relaxed geometry.

Total magnetic moment: 0.81 μB per atom
ΔE_f: -0.06 eV per atom

Lattice parameters (Å, degrees): 8.701 8.701 8.701 17.60 17.60 17.60
Positions (direct):
Fe 0.000 0.000 0.000
Ir 0.500 0.500 0.500
Rh 0.253 0.253 0.253
Rh 0.747 0.747 0.747

---

[2]
VASP calculation (meta-GGA SCAN) on FeIrRh2 at its PBEsol-relaxed geometry.

Total magnetic moment: 0.79 μB per atom
ΔE_f: -0.09 eV per atom

Lattice parameters (Å, degrees): 2.661 3.696 5.320 90.00 90.00 90.00
Positions (direct):
Fe 0.000 0.000 0.000
Ir 0.500 0.500 0.244
Rh 0.000 0.000 0.498
Rh 0.500 0.500 0.755

---

[3]
VASP calculation (meta-GGA SCAN) on FeIrRh2 at its PBEsol-relaxed geometry.

Total magnetic moment: 0.87 μB per atom
ΔE_f: -0.10 eV per atom

Lattice parameters (Å, degrees): 2.664 3.735 5.270 90.00 90.00 90.00
Positions (direct):
Fe 0.000 0.000 0.000
Ir 0.000 0.000 0.500
Rh 0.500 0.500 0.246
Rh 0.500 0.500 0.754

---

[4]
VASP calculation (meta-GGA SCAN) on FeIr2Rh at its PBEsol-relaxed geometry.

Total magnetic moment: 0.78 μB per atom
ΔE_f: -0.09 eV per atom

Lattice parameters (Å, degrees): 2.680 2.680 7.372 90.00 90.00 90.00
Positions (direct):
Fe 0.000 0.000 0.000
Ir 0.000 0.000 0.500
Ir 0.500 0.500 0.241
Rh 0.500 0.500 0.760

---

[5]
VASP calculation (meta-GGA SCAN) on Fe2IrRh at its PBEsol-relaxed geometry.

Total magnetic moment: 1.33 μB per atom
ΔE_f: 0.03 eV per atom

Lattice parameters (Å, degrees): 3.905 4.892 4.892 30.89 90.00 90.00
Positions (direct):
Fe 0.000 0.000 0.000
Fe 0.500 0.130 0.130
Ir 0.000 0.732 0.732
Rh 0.500 0.393 0.393

---

[6]
VASP calculation (meta-GGA SCAN) on FeIr2Rh at its PBEsol-relaxed geometry.

Total magnetic moment: 0.67 μB per atom
ΔE_f: -0.10 eV per atom

Lattice parameters (Å, degrees): 8.696 8.696 8.696 17.67 17.67 17.67
Positions (direct):
Fe 0.000 0.000 0.000
Ir 0.254 0.254 0.254
Ir 0.746 0.746 0.746
Rh 0.500 0.500 0.500

---

[7]
VASP calculation (meta-GGA SCAN) on FeIr2Rh at its PBEsol-relaxed geometry.

Total magnetic moment: 0.80 μB per atom
ΔE_f: -0.11 eV per atom

Lattice parameters (Å, degrees): 2.675 3.737 5.297 90.00 90.00 90.00
Positions (direct):
Fe 0.000 0.000 0.000
Ir 0.000 0.000 0.499
Ir 0.500 0.500 0.245
Rh 0.500 0.500 0.755

---

[8]
VASP calculation (meta-GGA SCAN) on FeIr2Rh at its PBEsol-relaxed geometry.

Total magnetic moment: 0.85 μB per atom
ΔE_f: -0.15 eV per atom

Lattice parameters (Å, degrees): 4.585 4.585 4.585 131.40 131.40 71.18
Positions (direct):
Fe 0.000 0.000 0.000
Ir 0.250 0.750 0.500
Ir 0.750 0.250 0.500
Rh 0.500 0.500 0.000

---

[9]
VASP calculation (meta-GGA SCAN) on FeIr2Rh at its PBEsol-relaxed geometry.

Total magnetic moment: 0.74 μB per atom
ΔE_f: -0.10 eV per atom

Lattice parameters (Å, degrees): 2.668 3.704 5.343 90.00 90.00 90.00
Positions (direct):
Fe 0.000 0.000 0.000
Ir 0.500 0.500 0.243
Ir 0.500 0.500 0.757
Rh 0.000 0.000 0.500

---

[10]
VASP calculation (meta-GGA SCAN) on FeIr2Rh at its PBEsol-relaxed geometry.

Total magnetic moment: 0.88 μB per atom
ΔE_f: -0.16 eV per atom

Lattice parameters (Å, degrees): 4.599 4.599 4.599 131.79 131.79 70.55
Positions (direct):
Fe 0.000 0.000 0.000
Ir 0.500 0.500 0.000
Ir 0.750 0.250 0.500
Rh 0.250 0.750 0.500

---

[11]
VASP calculation (meta-GGA SCAN) on FeIr2Rh at its PBEsol-relaxed geometry.

Total magnetic moment: 0.96 μB per atom
ΔE_f: -0.09 eV per atom

Lattice parameters (Å, degrees): 4.574 4.574 2.669 90.00 90.00 108.77
Positions (direct):
Fe 0.000 0.000 0.000
Ir 0.000 0.500 0.500
Ir 0.500 0.000 0.500
Rh 0.500 0.500 0.000

---

[12]
VASP calculation (meta-GGA SCAN) on Fe2IrRh at its PBEsol-relaxed geometry.

Total magnetic moment: 1.48 μB per atom
ΔE_f: -0.06 eV per atom

Lattice parameters (Å, degrees): 2.665 2.665 7.012 90.00 90.00 90.00
Positions (direct):
Fe 0.000 0.000 0.000
Fe 0.500 0.500 0.231
Ir 0.000 0.000 0.474
Rh 0.500 0.500 0.751

---

[13]
VASP calculation (meta-GGA SCAN) on Fe2IrRh at its PBEsol-relaxed geometry.

Total magnetic moment: 2.18 μB per atom
ΔE_f: -0.23 eV per atom

Lattice parameters (Å, degrees): 4.202 4.202 2.959 90.00 90.00 90.00
Positions (direct):
Fe 0.000 0.500 0.000
Fe 0.500 0.000 0.000
Ir 0.000 0.000 0.500
Rh 0.500 0.500 0.500

---

[14]
VASP calculation (meta-GGA SCAN) on FeIrRh2 at its PBEsol-relaxed geometry.

Total magnetic moment: 0.89 μB per atom
ΔE_f: -0.14 eV per atom

Lattice parameters (Å, degrees): 4.570 4.570 4.570 131.45 131.45 71.09
Positions (direct):
Fe 0.000 0.000 0.000
Ir 0.750 0.250 0.500
Rh 0.250 0.750 0.500
Rh 0.500 0.500 0.000

---

[15]
VASP calculation (meta-GGA SCAN) on FeIr2Rh at its PBEsol-relaxed geometry.

Total magnetic moment: 0.84 μB per atom
ΔE_f: -0.12 eV per atom

Lattice parameters (Å, degrees): 4.598 4.598 4.574 100.03 100.03 33.81
Positions (direct):
Fe 0.000 0.000 0.000
Ir 0.253 0.253 0.749
Ir 0.502 0.502 0.503
Rh 0.749 0.749 0.242

---

[16]
VASP calculation (meta-GGA SCAN) on FeIrRh2 at its PBEsol-relaxed geometry.

Total magnetic moment: 0.88 μB per atom
ΔE_f: -0.12 eV per atom

Lattice parameters (Å, degrees): 4.574 4.574 4.588 100.25 100.25 33.89
Positions (direct):
Fe 0.000 0.000 0.000
Ir 0.746 0.746 0.249
Rh 0.253 0.253 0.758
Rh 0.497 0.497 0.497

---

[17]
VASP calculation (meta-GGA SCAN) on FeIrRh at its PBEsol-relaxed geometry.

Relative energy among the computed polymorphs: 0.00 eV per formula unit
Total magnetic moment: 0.90 μB per atom
ΔE_f: -0.08 eV per atom

Lattice parameters (Å, degrees): 5.745 5.745 5.745 153.21 153.21 38.25
Positions (direct):
Fe 0.000 0.000 0.000
Ir 0.659 0.659 0.000
Rh 0.338 0.338 0.000

---

[18]
VASP calculation (meta-GGA SCAN) on FeIr2Rh at its PBEsol-relaxed geometry.

Total magnetic moment: 0.85 μB per atom
ΔE_f: -0.14 eV per atom

Lattice parameters (Å, degrees): 4.589 4.589 4.611 100.35 100.35 33.92
Positions (direct):
Fe 0.000 0.000 0.000
Ir 0.254 0.254 0.755
Ir 0.746 0.746 0.245
Rh 0.500 0.500 0.500

---

[19]
VASP calculation (meta-GGA SCAN) on FeIrRh2 at its PBEsol-relaxed geometry.

Total magnetic moment: 0.92 μB per atom
ΔE_f: -0.15 eV per atom

Lattice parameters (Å, degrees): 4.592 4.592 4.592 132.00 132.00 70.22
Positions (direct):
Fe 0.000 0.000 0.000
Ir 0.500 0.500 0.000
Rh 0.250 0.750 0.500
Rh 0.750 0.250 0.500

---

[20]
VASP calculation (meta-GGA SCAN) on Fe2IrRh at its PBEsol-relaxed geometry.

Total magnetic moment: 1.44 μB per atom
ΔE_f: -0.09 eV per atom

Lattice parameters (Å, degrees): 3.716 3.716 3.582 90.00 90.00 90.00
Positions (direct):
Fe 0.000 0.500 0.000
Fe 0.500 0.000 0.000
Ir 0.000 0.000 0.500
Rh 0.500 0.500 0.500